No. 1
{
  "formula": "PrDyTeO2",
  "functional": "PBE",
  "state": "relaxed",
  "sg": "I4mm",
  "m_tot_mub_per_fu": 0.00,
  "lattice_angstrom": [[-1.997, 1.997, 6.354], [1.997, -1.997, 6.354], [1.997, 1.997, -6.354]],
  "species": ["Pr", "Dy", "Te", "O", "O"],
  "fractional_positions": [[0.000, 0.000, 0.000], [0.680, 0.680, 0.000], [0.341, 0.341, 0.000], [0.099, 0.599, 0.500], [0.599, 0.099, 0.500]]
}

No. 2
{
  "formula": "ZnMo4C2S",
  "functional": "PBE",
  "state": "relaxed",
  "sg": "P-6m2",
  "m_tot_mub_per_fu": 0.02,
  "lattice_angstrom": [[3.120, 0.000, 0.000], [-1.560, 2.702, 0.000], [0.000, 0.000, 12.583]],
  "species": ["Zn", "Mo", "Mo", "Mo", "Mo", "C", "C", "S"],
  "fractional_positions": [[0.000, 0.000, 0.000], [0.000, 0.000, 0.352], [0.000, 0.000, 0.648], [0.333, 0.667, 0.173], [0.333, 0.667, 0.827], [0.667, 0.333, 0.258], [0.667, 0.333, 0.742], [0.333, 0.667, 0.500]]
}

No. 3
{
  "formula": "Li3ZrO4",
  "functional": "PBE",
  "state": "relaxed",
  "sg": "C2/m",
  "m_tot_mub_per_fu": 1.00,
  "lattice_angstrom": [[4.871, -1.565, 0.000], [4.871, 1.565, 0.000], [-0.930, 0.000, 5.067]],
  "species": ["Li", "Li", "Li", "Zr", "O", "O", "O", "O"],
  "fractional_positions": [[0.000, 0.000, 0.000], [0.255, 0.255, 0.774], [0.745, 0.745, 0.226], [0.500, 0.500, 0.500], [0.121, 0.121, 0.383], [0.378, 0.378, 0.124], [0.622, 0.622, 0.876], [0.879, 0.879, 0.617]]
}

No. 4
{
  "formula": "DyMgIn4Pd2",
  "functional": "PBE",
  "state": "relaxed",
  "sg": "Amm2",
  "m_tot_mub_per_fu": 0.01,
  "lattice_angstrom": [[7.785, 0.000, 0.000], [0.000, 2.199, 5.112], [0.000, -2.199, 5.112]],
  "species": ["Dy", "Mg", "In", "In", "In", "In", "Pd", "Pd"],
  "fractional_positions": [[0.000, 0.000, 0.000], [0.500, 0.865, 0.865], [0.205, 0.292, 0.292], [0.304, 0.572, 0.572], [0.696, 0.572, 0.572], [0.795, 0.292, 0.292], [0.000, 0.714, 0.714], [0.500, 0.142, 0.142]]
}

No. 5
{
  "formula": "MgZrBePd",
  "functional": "PBE",
  "state": "relaxed",
  "e_above_lowest_polymorph_mev_per_atom": 0,
  "sg": "F-43m",
  "m_tot_mub_per_fu": 0.00,
  "lattice_angstrom": [[0.000, 3.198, 3.198], [3.198, 0.000, 3.198], [3.198, 3.198, 0.000]],
  "species": ["Mg", "Zr", "Be", "Pd"],
  "fractional_positions": [[0.000, 0.000, 0.000], [0.500, 0.500, 0.500], [0.750, 0.750, 0.750], [0.250, 0.250, 0.250]]
}

No. 6
{
  "formula": "CsTaPd",
  "functional": "PBE",
  "state": "relaxed",
  "sg": "F-43m",
  "m_tot_mub_per_fu": 0.05,
  "lattice_angstrom": [[0.000, 3.334, 3.334], [3.334, 0.000, 3.334], [3.334, 3.334, 0.000]],
  "species": ["Cs", "Ta", "Pd"],
  "fractional_positions": [[0.000, 0.000, 0.000], [0.250, 0.250, 0.250], [0.500, 0.500, 0.500]]
}

No. 7
{
  "formula": "SrBeNiSn",
  "functional": "PBE",
  "state": "relaxed",
  "e_above_lowest_polymorph_mev_per_atom": 0,
  "sg": "F-43m",
  "m_tot_mub_per_fu": 0.00,
  "lattice_angstrom": [[0.000, 3.350, 3.350], [3.350, 0.000, 3.350], [3.350, 3.350, 0.000]],
  "species": ["Sr", "Be", "Ni", "Sn"],
  "fractional_positions": [[0.000, 0.000, 0.000], [0.750, 0.750, 0.750], [0.250, 0.250, 0.250], [0.500, 0.500, 0.500]]
}

No. 8
{
  "formula": "TlCoMo4N2",
  "functional": "PBE",
  "state": "relaxed",
  "e_above_lowest_polymorph_mev_per_atom": 0,
  "sg": "P-6m2",
  "m_tot_mub_per_fu": 0.92,
  "lattice_angstrom": [[2.908, 0.000, 0.000], [-1.454, 2.518, 0.000], [0.000, 0.000, 14.587]],
  "species": ["Tl", "Co", "Mo", "Mo", "Mo", "Mo", "N", "N"],
  "fractional_positions": [[0.000, 0.000, 0.000], [0.667, 0.333, 0.500], [0.000, 0.000, 0.359], [0.000, 0.000, 0.641], [0.667, 0.333, 0.172], [0.667, 0.333, 0.828], [0.333, 0.667, 0.264], [0.333, 0.667, 0.736]]
}

No. 9
{
  "formula": "BaHgPb2",
  "functional": "PBE",
  "state": "relaxed",
  "sg": "F-43m",
  "lattice_angstrom": [[0.000, 4.045, 4.045], [4.045, 0.000, 4.045], [4.045, 4.045, 0.000]],
  "species": ["Ba", "Hg", "Pb", "Pb"],
  "fractional_positions": [[0.000, 0.000, 0.000], [0.250, 0.250, 0.250], [0.500, 0.500, 0.500], [0.750, 0.750, 0.750]]
}

No. 10
{
  "formula": "TaTlCdCu",
  "functional": "PBE",
  "state": "relaxed",
  "e_above_lowest_polymorph_mev_per_atom": 70,
  "sg": "F-43m",
  "m_tot_mub_per_fu": 0.91,
  "lattice_angstrom": [[0.000, 3.365, 3.365], [3.365, 0.000, 3.365], [3.365, 3.365, 0.000]],
  "species": ["Ta", "Tl", "Cd", "Cu"],
  "fractional_positions": [[0.000, 0.000, 0.000], [0.500, 0.500, 0.500], [0.250, 0.250, 0.250], [0.750, 0.750, 0.750]]
}

No. 11
{
  "formula": "ZrTlAgTe3",
  "functional": "PBE",
  "state": "relaxed",
  "e_above_lowest_polymorph_mev_per_atom": 31,
  "sg": "Pnma",
  "m_tot_mub_per_fu": 0.01,
  "lattice_angstrom": [[11.264, 0.000, 0.000], [0.000, 4.181, 0.000], [0.000, 0.000, 15.060]],
  "species": ["Zr", "Zr", "Zr", "Zr", "Tl", "Tl", "Tl", "Tl", "Ag", "Ag", "Ag", "Ag", "Te", "Te", "Te", "Te", "Te", "Te", "Te", "Te", "Te", "Te", "Te", "Te"],
  "fractional_positions": [[0.032, 0.250, 0.248], [0.468, 0.750, 0.748], [0.532, 0.250, 0.252], [0.968, 0.750, 0.752], [0.238, 0.750, 0.988], [0.262, 0.250, 0.488], [0.738, 0.750, 0.512], [0.762, 0.250, 0.012], [0.248, 0.250, 0.795], [0.252, 0.750, 0.295], [0.748, 0.250, 0.705], [0.752, 0.750, 0.205], [0.030, 0.250, 0.883], [0.043, 0.750, 0.388], [0.235, 0.750, 0.672], [0.265, 0.250, 0.172], [0.457, 0.250, 0.888], [0.470, 0.750, 0.383], [0.530, 0.250, 0.617], [0.543, 0.750, 0.112], [0.735, 0.750, 0.828], [0.765, 0.250, 0.328], [0.957, 0.250, 0.612], [0.970, 0.750, 0.117]]
}

No. 12
{
  "formula": "CdGaFeIr",
  "functional": "PBE",
  "state": "relaxed",
  "e_above_lowest_polymorph_mev_per_atom": 0,
  "sg": "F-43m",
  "m_tot_mub_per_fu": 2.48,
  "lattice_angstrom": [[0.000, 3.126, 3.126], [3.126, 0.000, 3.126], [3.126, 3.126, 0.000]],
  "species": ["Cd", "Ga", "Fe", "Ir"],
  "fractional_positions": [[0.000, 0.000, 0.000], [0.500, 0.500, 0.500], [0.750, 0.750, 0.750], [0.250, 0.250, 0.250]]
}

No. 13
{
  "formula": "PrTlCdSe3",
  "functional": "PBE",
  "state": "relaxed",
  "e_above_lowest_polymorph_mev_per_atom": 9,
  "sg": "P2_1/m",
  "m_tot_mub_per_fu": 0.01,
  "lattice_angstrom": [[8.365, 0.000, 0.000], [0.000, 4.365, 0.000], [-2.873, 0.000, 10.323]],
  "species": ["Pr", "Pr", "Tl", "Tl", "Cd", "Cd", "Se", "Se", "Se", "Se", "Se", "Se"],
  "fractional_positions": [[0.202, 0.250, 0.129], [0.798, 0.750, 0.871], [0.230, 0.750, 0.718], [0.770, 0.250, 0.282], [0.425, 0.750, 0.387], [0.575, 0.250, 0.613], [0.038, 0.250, 0.851], [0.260, 0.250, 0.438], [0.453, 0.750, 0.147], [0.547, 0.250, 0.853], [0.740, 0.750, 0.562], [0.962, 0.750, 0.149]]
}

No. 14
{
  "formula": "HgAu9",
  "functional": "PBE",
  "state": "relaxed",
  "e_above_lowest_polymorph_mev_per_atom": 10,
  "sg": "Pmmn",
  "e_form_ev_per_atom": 0.0394,
  "lattice_angstrom": [[2.932, 0.000, 0.000], [0.000, 3.996, 0.000], [0.000, 0.000, 41.210]],
  "species": ["Hg", "Hg", "Au", "Au", "Au", "Au", "Au", "Au", "Au", "Au", "Au", "Au", "Au", "Au", "Au", "Au", "Au", "Au", "Au", "Au"],
  "fractional_positions": [[0.250, 0.250, 0.142], [0.750, 0.750, 0.858], [0.250, 0.250, 0.224], [0.250, 0.250, 0.298], [0.250, 0.250, 0.371], [0.250, 0.250, 0.445], [0.250, 0.250, 0.518], [0.250, 0.250, 0.592], [0.250, 0.250, 0.665], [0.250, 0.250, 0.739], [0.250, 0.250, 0.813], [0.750, 0.750, 0.187], [0.750, 0.750, 0.261], [0.750, 0.750, 0.335], [0.750, 0.750, 0.408], [0.750, 0.750, 0.482], [0.750, 0.750, 0.555], [0.750, 0.750, 0.629], [0.750, 0.750, 0.702], [0.750, 0.750, 0.776]]
}

No. 15
{
  "formula": "UZnHg",
  "functional": "PBE",
  "state": "relaxed",
  "e_above_lowest_polymorph_mev_per_atom": 0,
  "sg": "F-43m",
  "m_tot_mub_per_fu": 2.21,
  "e_form_ev_per_atom": 0.4855,
  "lattice_angstrom": [[0.000, 3.313, 3.313], [3.313, 0.000, 3.313], [3.313, 3.313, 0.000]],
  "species": ["U", "Zn", "Hg"],
  "fractional_positions": [[0.000, 0.000, 0.000], [0.750, 0.750, 0.750], [0.500, 0.500, 0.500]]
}

No. 16
{
  "formula": "Tb2TaO4",
  "functional": "PBE",
  "state": "relaxed",
  "sg": "Fd-3m",
  "m_tot_mub_per_fu": 0.01,
  "lattice_angstrom": [[0.000, 4.678, 4.678], [4.678, 0.000, 4.678], [4.678, 4.678, 0.000]],
  "species": ["Tb", "Tb", "Tb", "Tb", "Ta", "Ta", "O", "O", "O", "O", "O", "O", "O", "O"],
  "fractional_positions": [[0.000, 0.000, 0.000], [0.000, 0.000, 0.500], [0.000, 0.500, 0.000], [0.500, 0.000, 0.000], [0.375, 0.375, 0.375], [0.625, 0.625, 0.625], [0.256, 0.256, 0.256], [0.256, 0.256, 0.732], [0.256, 0.732, 0.256], [0.268, 0.744, 0.744], [0.732, 0.256, 0.256], [0.744, 0.268, 0.744], [0.744, 0.744, 0.268], [0.744, 0.744, 0.744]]
}

No. 17
{
  "formula": "UAlNi",
  "functional": "PBE",
  "state": "relaxed",
  "sg": "P6_3/mmc",
  "m_tot_mub_per_fu": 2.39,
  "lattice_angstrom": [[4.544, 0.000, 0.000], [-2.272, 3.935, 0.000], [0.000, 0.000, 5.653]],
  "species": ["U", "U", "Al", "Al", "Ni", "Ni"],
  "fractional_positions": [[0.000, 0.000, 0.000], [0.000, 0.000, 0.500], [0.333, 0.667, 0.250], [0.667, 0.333, 0.750], [0.333, 0.667, 0.750], [0.667, 0.333, 0.250]]
}

No. 18
{
  "formula": "CdAsNO",
  "functional": "PBE",
  "state": "relaxed",
  "e_above_lowest_polymorph_mev_per_atom": 0,
  "sg": "Pmc2_1",
  "lattice_angstrom": [[4.262, 0.000, 0.000], [0.000, 5.160, 0.000], [0.000, 0.000, 4.909]],
  "species": ["Cd", "Cd", "As", "As", "N", "N", "O", "O"],
  "fractional_positions": [[0.000, 0.218, 0.000], [0.000, 0.782, 0.500], [0.500, 0.290, 0.504], [0.500, 0.710, 0.004], [0.500, 0.358, 0.885], [0.500, 0.642, 0.385], [0.000, 0.240, 0.477], [0.000, 0.760, 0.977]]
}

No. 19
{
  "formula": "HfBePb",
  "functional": "PBE",
  "state": "relaxed",
  "e_above_lowest_polymorph_mev_per_atom": 0,
  "sg": "F-43m",
  "m_tot_mub_per_fu": 0.00,
  "lattice_angstrom": [[0.000, 3.288, 3.288], [3.288, 0.000, 3.288], [3.288, 3.288, 0.000]],
  "species": ["Hf", "Be", "Pb"],
  "fractional_positions": [[0.000, 0.000, 0.000], [0.750, 0.750, 0.750], [0.250, 0.250, 0.250]]
}

No. 20
{
  "formula": "Cu5SbS3I2",
  "functional": "PBE",
  "state": "relaxed",
  "sg": "Pnnm",
  "lattice_angstrom": [[10.567, 0.000, 0.000], [0.000, 12.872, 0.000], [0.000, 0.000, 7.406]],
  "species": ["Cu", "Cu", "Cu", "Cu", "Cu", "Cu", "Cu", "Cu", "Cu", "Cu", "Cu", "Cu", "Cu", "Cu", "Cu", "Cu", "Cu", "Cu", "Cu", "Cu", "Sb", "Sb", "Sb", "Sb", "S", "S", "S", "S", "S", "S", "S", "S", "S", "S", "S", "S", "I", "I", "I", "I", "I", "I", "I", "I"],
  "fractional_positions": [[0.017, 0.150, 0.173], [0.017, 0.150, 0.827], [0.233, 0.981, 0.500], [0.242, 0.250, 0.271], [0.242, 0.250, 0.729], [0.258, 0.750, 0.229], [0.258, 0.750, 0.771], [0.267, 0.481, 0.000], [0.483, 0.650, 0.327], [0.483, 0.650, 0.673], [0.517, 0.350, 0.327], [0.517, 0.350, 0.673], [0.733, 0.519, 0.000], [0.742, 0.250, 0.229], [0.742, 0.250, 0.771], [0.758, 0.750, 0.271], [0.758, 0.750, 0.729], [0.767, 0.019, 0.500], [0.983, 0.850, 0.173], [0.983, 0.850, 0.827], [0.199, 0.496, 0.500], [0.301, 0.996, 0.000], [0.699, 0.004, 0.000], [0.801, 0.504, 0.500], [0.173, 0.914, 0.242], [0.173, 0.914, 0.758], [0.191, 0.171, 0.000], [0.309, 0.671, 0.500], [0.327, 0.414, 0.258], [0.327, 0.414, 0.742], [0.673, 0.586, 0.258], [0.673, 0.586, 0.742], [0.691, 0.329, 0.500], [0.809, 0.829, 0.000], [0.827, 0.086, 0.242], [0.827, 0.086, 0.758], [0.037, 0.253, 0.500], [0.110, 0.634, 0.000], [0.390, 0.134, 0.500], [0.463, 0.753, 0.000], [0.537, 0.247, 0.000], [0.610, 0.866, 0.500], [0.890, 0.366, 0.000], [0.963, 0.747, 0.500]]
}

| no. | electronic total energy (eV per atom) |
| --- | --- |
| 1 | -7.390 |
| 2 | -8.454 |
| 3 | -6.493 |
| 4 | -3.938 |
| 5 | -5.077 |
| 6 | -4.309 |
| 7 | -3.606 |
| 8 | -8.482 |
| 9 | -2.768 |
| 10 | -3.934 |
| 11 | -4.400 |
| 12 | -5.146 |
| 13 | -4.146 |
| 14 | -2.930 |
| 15 | -3.801 |
| 16 | -8.415 |
| 17 | -7.104 |
| 18 | -4.974 |
| 19 | -5.051 |
| 20 | -3.637 |